DFT (PBE) results for WBr after structural relaxation.

Results
**Space-group type**: P6_3/mmc
**Energy relative to the elements, uncorrected**: 1.6006 eV per atom
**E above lowest polymorph**: 1518 meV per atom

Lattice parameters (Å, degrees): 4.4759 4.4759 4.9335 90.00 90.00 120.00
Element x y z (fractional)
1 W 0.0000 0.0000 0.0000
2 W 0.0000 0.0000 0.5000
3 Br 0.3333 0.6667 0.2500
4 Br 0.6667 0.3333 0.7500

***

DFT (PBE) results for Zr2RuSe after structural relaxation.

Results
**Space-group type**: P2/m
**Energy relative to the elements, uncorrected**: -0.6772 eV per atom

Lattice parameters (Å, degrees): 3.2508 3.2691 7.1034 90.00 95.53 90.00
Element x y z (fractional)
1 Zr 0.0051 0.0000 0.2364
2 Zr 0.9949 0.0000 0.7636
3 Ru 0.5000 0.5000 0.0000
4 Se 0.5000 0.5000 0.5000

***

DFT (PBE) results for HoZrMnCu after structural relaxation.

Results
**Space-group type**: F-43m
**Energy of formation from the pure elements**: 0.03 eV per atom

Lattice parameters (Å, degrees): 6.6935 6.6935 6.6935 90.00 90.00 90.00
Element x y z (fractional)
1 Ho 0.0000 0.0000 0.0000
2 Ho 0.0000 0.5000 0.5000
3 Ho 0.5000 0.0000 0.5000
4 Ho 0.5000 0.5000 0.0000
5 Zr 0.0000 0.0000 0.5000
6 Zr 0.0000 0.5000 0.0000
7 Zr 0.5000 0.0000 0.0000
8 Zr 0.5000 0.5000 0.5000
9 Mn 0.2500 0.2500 0.2500
10 Mn 0.2500 0.7500 0.7500
11 Mn 0.7500 0.2500 0.7500
12 Mn 0.7500 0.7500 0.2500
13 Cu 0.2500 0.2500 0.7500
14 Cu 0.2500 0.7500 0.2500
15 Cu 0.7500 0.2500 0.2500
16 Cu 0.7500 0.7500 0.7500